# 1
Crystalline V2GaSi at its relaxed geometry, computed with PBE-GGA.

Summary:
- formation energy without anion corrections (meV/atom) = -191
- DFT total energy (eV for the cell shown) = -27.450
- size of the total moment (μB per formula unit) = 0.0

Lattice parameters (Å, degrees): 3.845 3.741 3.741 90.00 90.00 90.00
Element x y z (fractional)
V (0.000, 0.500, 0.000)
Si (0.500, 0.000, 0.000)
V (0.000, 0.000, 0.500)
Ga (0.500, 0.500, 0.500)

# 2
Crystalline ScTiNbIr at its relaxed geometry, computed with PBE-GGA.

Summary:
- DFT total energy (eV for the cell shown) = -34.517
- size of the total moment (μB per formula unit) = 1.6
- energy of formation from the pure elements (meV per atom) = -340

Lattice parameters (Å, degrees): 4.597 4.597 4.597 60.00 60.00 60.00
Site moments in Bohr magnetons follow the coordinates.
Element x y z (fractional)
Nb (0.250, 0.250, 0.250)  0.15
Sc (0.750, 0.750, 0.750)  0.18
Ir (0.000, 0.000, 0.000)  0.01
Ti (0.500, 0.500, 0.500)  0.92

# 3
Crystalline HoMgSc2Rh4 at its relaxed geometry, computed with PBE-GGA.

Summary:
- DFT total energy (eV for the cell shown) = -55.354
- size of the total moment (μB per formula unit) = 0.0
- energy of formation from the pure elements (meV per atom) = -889

Lattice parameters (Å, degrees): 4.585 4.585 7.979 73.30 73.30 60.00
Element x y z (fractional)
Sc (0.756, 0.756, 0.732)
Rh (0.623, 0.623, 0.132)
Ho (0.000, 0.000, 0.000)
Rh (0.377, 0.377, 0.868)
Rh (0.126, 0.126, 0.623)
Rh (0.874, 0.874, 0.377)
Mg (0.500, 0.500, 0.500)
Sc (0.244, 0.244, 0.268)

# 4
Crystalline TmCo2B at its relaxed geometry, computed with PBE-GGA.

Summary:
- DFT total energy (eV for the cell shown) = -25.742
- size of the total moment (μB per formula unit) = 1.1
- energy of formation from the pure elements (meV per atom) = -95

Lattice parameters (Å, degrees): 3.112 4.882 4.335 124.27 90.00 90.00
Site moments in Bohr magnetons follow the coordinates.
Element x y z (fractional)
B (0.500, 0.000, 0.000)  -0.05
Tm (0.500, 0.500, 0.000)  -0.08
Co (0.000, 0.167, 0.334)  0.61
Co (0.000, 0.833, 0.666)  0.61

# 5
Crystalline LaW at its relaxed geometry, computed with PBE-GGA.

Summary:
- DFT total energy (eV for the cell shown) = -99.619
- size of the total moment (μB per formula unit) = 0.0
- energy of formation from the pure elements (meV per atom) = 639
- energy above the lowest structure with this stoichiometry (eV/atom) = 0.294

Lattice parameters (Å, degrees): 9.876 9.876 3.692 90.00 90.00 120.00
Element x y z (fractional)
W (0.898, 0.449, 0.750)
W (0.449, 0.551, 0.250)
W (0.551, 0.449, 0.750)
W (0.449, 0.898, 0.250)
W (0.551, 0.102, 0.750)
La (0.833, 0.167, 0.250)
La (0.167, 0.833, 0.750)
W (0.102, 0.551, 0.250)
La (0.666, 0.833, 0.750)
La (0.334, 0.167, 0.250)
La (0.833, 0.666, 0.250)
La (0.167, 0.334, 0.750)

# 6
Crystalline LiZr2Au8 at its relaxed geometry, computed with PBE-GGA.

Summary:
- DFT total energy (eV for the cell shown) = -50.008
- size of the total moment (μB per formula unit) = 0.0
- energy of formation from the pure elements (meV per atom) = -434

Lattice parameters (Å, degrees): 4.746 6.541 7.700 115.13 107.85 90.00
Element x y z (fractional)
Au (0.368, 0.586, 0.737)
Au (0.832, 0.833, 0.665)
Au (0.000, 0.720, 0.000)
Au (0.168, 0.167, 0.335)
Zr (0.800, 0.300, 0.601)
Li (0.500, 0.000, 0.000)
Au (0.368, 0.151, 0.737)
Zr (0.200, 0.700, 0.399)
Au (0.632, 0.414, 0.263)
Au (0.632, 0.849, 0.263)
Au (0.000, 0.280, 0.000)

# 7
Crystalline SrMg2Ag at its relaxed geometry, computed with PBE-GGA.

Summary:
- DFT total energy (eV for the cell shown) = -8.004
- size of the total moment (μB per formula unit) = 0.0
- energy of formation from the pure elements (meV per atom) = -71

Lattice parameters (Å, degrees): 5.339 5.339 5.339 122.38 118.19 89.54
Element x y z (fractional)
Mg (0.767, 0.267, 0.500)
Sr (0.498, 0.498, 0.000)
Ag (0.224, 0.724, 0.500)
Mg (0.011, 0.011, 0.000)

# 8
Crystalline Ca2Sb2I at its relaxed geometry, computed with PBE-GGA.

Summary:
- formation energy without anion corrections (meV/atom) = -592
- DFT total energy (eV for the cell shown) = -33.517
- size of the total moment (μB per formula unit) = 0.0
- energy above the lowest structure with this stoichiometry (eV/atom) = 0.259

Lattice parameters (Å, degrees): 9.335 9.335 3.704 90.00 90.00 90.00
Element x y z (fractional)
I (0.500, 0.500, 0.000)
I (0.000, 0.000, 0.000)
Ca (0.144, 0.644, 0.500)
Sb (0.657, 0.157, 0.000)
Ca (0.856, 0.356, 0.500)
Sb (0.157, 0.343, 0.000)
Sb (0.343, 0.843, 0.000)
Sb (0.843, 0.657, 0.000)
Ca (0.356, 0.144, 0.500)
Ca (0.644, 0.856, 0.500)

# 9
Crystalline Ti12Zn3Pd at its relaxed geometry, computed with PBE-GGA.

Summary:
- DFT total energy (eV for the cell shown) = -105.819
- size of the total moment (μB per formula unit) = 0.0
- energy of formation from the pure elements (meV per atom) = -129

Lattice parameters (Å, degrees): 3.999 3.999 16.237 90.00 90.00 90.00
Element x y z (fractional)
Ti (0.500, 0.000, 0.624)
Ti (0.000, 0.500, 0.376)
Zn (0.000, 0.000, 0.252)
Ti (0.000, 0.500, 0.872)
Ti (0.500, 0.000, 0.872)
Ti (0.500, 0.500, 0.000)
Ti (0.500, 0.000, 0.376)
Pd (0.000, 0.000, 0.000)
Ti (0.000, 0.500, 0.624)
Zn (0.000, 0.000, 0.500)
Zn (0.000, 0.000, 0.748)
Ti (0.500, 0.000, 0.128)
Ti (0.000, 0.500, 0.128)
Ti (0.500, 0.500, 0.251)
Ti (0.500, 0.500, 0.749)
Ti (0.500, 0.500, 0.500)

# 10
Crystalline MnVGe2Ru at its relaxed geometry, computed with PBE-GGA.

Summary:
- DFT total energy (eV for the cell shown) = -32.551
- size of the total moment (μB per formula unit) = 3.3
- energy of formation from the pure elements (meV per atom) = 850

Lattice parameters (Å, degrees): 4.544 4.567 4.544 90.00 90.00 90.00
Site moments in Bohr magnetons follow the coordinates.
Element x y z (fractional)
V (0.500, 0.500, 0.500)  2.67
Ge (0.500, 0.000, 0.000)  -0.01
Ge (0.000, 0.000, 0.500)  -0.03
Mn (0.000, 0.000, 0.000)  0.67
Ru (0.000, 0.500, 0.000)  -0.48

# 11
Crystalline InHgBr2N at its relaxed geometry, computed with PBE-GGA.

Summary:
- formation energy without anion corrections (meV/atom) = 381
- DFT total energy (eV for the cell shown) = -12.805
- size of the total moment (μB per formula unit) = 1.5

Lattice parameters (Å, degrees): 5.725 4.168 5.725 90.00 90.00 90.00
Site moments in Bohr magnetons follow the coordinates.
Element x y z (fractional)
In (0.000, 0.000, 0.000)  -0.05
N (0.000, 0.500, 0.000)  0.94
Br (0.500, 0.000, 0.000)  0.06
Hg (0.500, 0.500, 0.500)  0.02
Br (0.000, 0.000, 0.500)  0.07

# 12
Crystalline YZnTe2 at its relaxed geometry, computed with PBE-GGA.

Summary:
- formation energy without anion corrections (meV/atom) = -816
- DFT total energy (eV for the cell shown) = -51.861
- size of the total moment (μB per formula unit) = 0.0
- energy above the lowest structure with this stoichiometry (eV/atom) = 0.109

Lattice parameters (Å, degrees): 4.336 4.336 20.445 90.00 90.00 60.00
Element x y z (fractional)
Y (0.000, 0.999, 0.500)
Y (0.001, 0.000, 0.167)
Te (0.666, 0.667, 0.743)
Te (0.667, 0.666, 0.410)
Zn (0.999, 0.000, 0.667)
Te (0.334, 0.333, 0.257)
Zn (0.000, 0.001, 0.000)
Y (0.999, 0.001, 0.833)
Te (0.333, 0.334, 0.923)
Te (0.667, 0.667, 0.077)
Te (0.333, 0.333, 0.590)
Zn (0.001, 0.999, 0.333)

# 13
Crystalline AcPOsO at its relaxed geometry, computed with PBE-GGA.

Summary:
- formation energy without anion corrections (meV/atom) = -1859
- DFT total energy (eV for the cell shown) = -66.282
- size of the total moment (μB per formula unit) = 0.0

Lattice parameters (Å, degrees): 4.132 4.132 8.820 90.00 90.00 90.00
Element x y z (fractional)
Ac (0.000, 0.500, 0.350)
Os (0.500, 0.500, 0.000)
O (0.500, 0.500, 0.500)
Ac (0.500, 0.000, 0.650)
O (0.000, 0.000, 0.500)
P (0.500, 0.000, 0.131)
P (0.000, 0.500, 0.869)
Os (0.000, 0.000, 0.000)

# 14
Crystalline Ta2Pd2Au at its relaxed geometry, computed with PBE-GGA.

Summary:
- DFT total energy (eV for the cell shown) = -75.996
- size of the total moment (μB per formula unit) = 0.0
- energy of formation from the pure elements (meV per atom) = -126
- energy above the lowest structure with this stoichiometry (eV/atom) = 0.000

Lattice parameters (Å, degrees): 7.788 7.788 2.849 90.00 90.00 90.00
Element x y z (fractional)
Ta (0.329, 0.171, 0.500)
Pd (0.375, 0.875, 0.000)
Au (0.000, 0.000, 0.000)
Ta (0.671, 0.829, 0.500)
Pd (0.125, 0.375, 0.000)
Ta (0.171, 0.671, 0.500)
Pd (0.875, 0.625, 0.000)
Ta (0.829, 0.329, 0.500)
Pd (0.625, 0.125, 0.000)
Au (0.500, 0.500, 0.000)

# 15
Crystalline Bi2PbI at its relaxed geometry, computed with PBE-GGA.

Summary:
- formation energy without anion corrections (meV/atom) = 288
- DFT total energy (eV for the cell shown) = -23.740
- size of the total moment (μB per formula unit) = 0.0
- energy above the lowest structure with this stoichiometry (eV/atom) = 0.109

Lattice parameters (Å, degrees): 7.964 7.964 8.199 60.94 60.94 90.00
Element x y z (fractional)
I (0.500, 0.500, 0.000)
I (0.250, 0.750, 0.500)
Pb (0.000, 0.000, 0.000)
Pb (0.750, 0.250, 0.500)
Bi (0.875, 0.900, 0.750)
Bi (0.650, 0.125, 0.250)
Bi (0.375, 0.350, 0.750)
Bi (0.100, 0.625, 0.250)

# 16
Crystalline SrGe5Br12 at its relaxed geometry, computed with PBE-GGA.

Summary:
- formation energy without anion corrections (meV/atom) = -810
- DFT total energy (eV for the cell shown) = -59.417
- size of the total moment (μB per formula unit) = 0.0

Lattice parameters (Å, degrees): 7.184 7.198 14.112 89.96 89.92 60.06
Element x y z (fractional)
Ge (0.167, 0.667, 0.500)
Br (0.167, 0.333, 0.389)
Ge (0.500, 0.000, 0.500)
Br (0.834, 0.000, 0.389)
Ge (0.333, 0.333, 0.000)
Ge (0.667, 0.667, 0.000)
Br (0.000, 0.356, 0.884)
Br (0.356, 0.000, 0.116)
Br (0.833, 0.667, 0.611)
Br (0.356, 0.644, 0.884)
Ge (0.833, 0.333, 0.500)
Br (0.644, 0.000, 0.884)
Br (0.000, 0.644, 0.116)
Sr (0.000, 0.000, 0.000)
Br (0.166, 0.000, 0.611)
Br (0.499, 0.333, 0.611)
Br (0.644, 0.356, 0.116)
Br (0.501, 0.667, 0.389)

# 17
Crystalline Rb2MnZnBr6 at its relaxed geometry, computed with PBE-GGA.

Summary:
- formation energy without anion corrections (meV/atom) = -1183
- DFT total energy (eV for the cell shown) = -34.241
- size of the total moment (μB per formula unit) = 5.0
- energy above the lowest structure with this stoichiometry (eV/atom) = 0.000

Lattice parameters (Å, degrees): 7.709 7.679 9.248 52.98 53.13 67.02
Site moments in Bohr magnetons follow the coordinates.
Element x y z (fractional)
Br (0.528, 0.578, 0.761)  0.03
Zn (0.316, 0.316, 0.144)  0.01
Rb (0.095, 0.039, 0.823)  0.00
Br (0.597, 0.070, 0.752)  0.06
Rb (0.538, 0.593, 0.325)  0.00
Br (0.065, 0.538, 0.301)  0.01
Br (0.567, 0.095, 0.272)  0.01
Br (0.104, 0.054, 0.235)  0.03
Br (0.036, 0.562, 0.786)  0.06
Mn (0.816, 0.816, 0.617)  4.33

# 18
Crystalline VAsSeN2 at its relaxed geometry, computed with PBE-GGA.

Summary:
- formation energy without anion corrections (meV/atom) = 1351
- DFT total energy (eV for the cell shown) = -27.150
- size of the total moment (μB per formula unit) = 0.0
- energy above the lowest structure with this stoichiometry (eV/atom) = 0.844

Lattice parameters (Å, degrees): 3.641 3.641 6.001 90.00 90.00 90.00
Element x y z (fractional)
As (0.000, 0.000, 0.000)
Se (0.000, 0.000, 0.500)
N (0.500, 0.000, 0.000)
V (0.500, 0.500, 0.500)
N (0.000, 0.500, 0.000)

# 19
Crystalline TlAgO2F at its relaxed geometry, computed with PBE-GGA.

Summary:
- formation energy without anion corrections (meV/atom) = -330
- DFT total energy (eV for the cell shown) = -18.654
- size of the total moment (μB per formula unit) = 0.0

Lattice parameters (Å, degrees): 4.170 4.170 4.283 90.00 90.00 90.00
Element x y z (fractional)
Ag (0.000, 0.000, 0.000)
O (0.000, 0.500, 0.000)
Tl (0.500, 0.500, 0.500)
F (0.000, 0.000, 0.500)
O (0.500, 0.000, 0.000)

# 20
Crystalline Na2NbAgO at its relaxed geometry, computed with PBE-GGA.

Summary:
- formation energy without anion corrections (meV/atom) = 28
- DFT total energy (eV for the cell shown) = -20.378
- size of the total moment (μB per formula unit) = 2.4

Lattice parameters (Å, degrees): 6.195 3.887 6.195 90.00 90.00 90.00
Site moments in Bohr magnetons follow the coordinates.
Element x y z (fractional)
Ag (0.500, 0.500, 0.500)  0.03
Nb (0.000, 0.000, 0.000)  1.85
Na (0.500, 0.000, 0.000)  0.02
O (0.000, 0.500, 0.000)  -0.09
Na (0.000, 0.000, 0.500)  0.00

# 21
Crystalline Zn2CoPt at its relaxed geometry, computed with PBE-GGA.

Summary:
- DFT total energy (eV for the cell shown) = -16.363
- size of the total moment (μB per formula unit) = 1.4
- energy of formation from the pure elements (meV per atom) = -167

Lattice parameters (Å, degrees): 3.775 2.721 6.013 62.65 90.00 90.00
Site moments in Bohr magnetons follow the coordinates.
Element x y z (fractional)
Co (0.000, 0.513, 0.489)  1.42
Zn (0.500, 0.236, 0.264)  -0.03
Pt (0.500, 0.749, 0.751)  0.08
Zn (0.000, 0.002, 0.997)  -0.02

# 22
Crystalline Cr2CdTc2 at its relaxed geometry, computed with PBE-GGA.

Summary:
- DFT total energy (eV for the cell shown) = -38.707
- size of the total moment (μB per formula unit) = 0.0
- energy of formation from the pure elements (meV per atom) = 437
- energy above the lowest structure with this stoichiometry (eV/atom) = 0.116

Lattice parameters (Å, degrees): 4.093 4.093 5.644 68.74 68.74 90.00
Element x y z (fractional)
Cr (0.621, 0.621, 0.757)
Cr (0.379, 0.379, 0.243)
Tc (0.250, 0.750, 0.500)
Cd (0.000, 0.000, 0.000)
Tc (0.750, 0.250, 0.500)

# 23
Crystalline ErTh3Se4 at its relaxed geometry, computed with PBE-GGA.

Summary:
- formation energy without anion corrections (meV/atom) = -1570
- DFT total energy (eV for the cell shown) = -106.644
- size of the total moment (μB per formula unit) = 0.0

Lattice parameters (Å, degrees): 7.092 7.228 8.517 90.00 90.00 110.54
Element x y z (fractional)
Se (0.992, 0.242, 0.633)
Er (0.750, 0.000, 0.877)
Er (0.250, 0.000, 0.123)
Th (0.250, 0.500, 0.377)
Th (0.750, 0.500, 0.623)
Se (0.008, 0.758, 0.367)
Th (0.750, 0.500, 0.126)
Se (0.508, 0.758, 0.633)
Th (0.750, 0.000, 0.376)
Se (0.499, 0.762, 0.119)
Se (0.999, 0.762, 0.881)
Se (0.492, 0.242, 0.367)
Se (0.001, 0.238, 0.119)
Se (0.501, 0.238, 0.881)
Th (0.250, 0.000, 0.624)
Th (0.250, 0.500, 0.874)

# 24
Crystalline SrLaP at its relaxed geometry, computed with PBE-GGA.

Summary:
- DFT total energy (eV for the cell shown) = -28.192
- size of the total moment (μB per formula unit) = 0.7
- energy of formation from the pure elements (meV per atom) = -692
- energy above the lowest structure with this stoichiometry (eV/atom) = 0.189

Lattice parameters (Å, degrees): 4.201 4.202 14.607 90.00 90.00 120.00
Site moments in Bohr magnetons follow the coordinates.
Element x y z (fractional)
La (0.278, 0.556, 0.881)  0.23
Sr (0.611, 0.222, 0.382)  0.01
La (0.278, 0.556, 0.119)  0.23
P (0.611, 0.222, 0.000)  -0.02
P (0.278, 0.555, 0.500)  0.01
Sr (0.611, 0.222, 0.618)  0.01

# 25
Crystalline MgSc2Co at its relaxed geometry, computed with PBE-GGA.

Summary:
- DFT total energy (eV for the cell shown) = -21.506
- size of the total moment (μB per formula unit) = 0.0
- energy of formation from the pure elements (meV per atom) = -36

Lattice parameters (Å, degrees): 8.876 8.876 8.876 21.74 21.74 21.74
Element x y z (fractional)
Sc (0.521, 0.521, 0.521)
Co (0.250, 0.250, 0.250)
Sc (0.979, 0.979, 0.979)
Mg (0.750, 0.750, 0.750)